Run w
This record from Alexandria via LeMat-Bulk describes a relaxed PuHfZrSc crystal. The functional is PBE.

- Crystal system: trigonal
- Space-group type: R3m (160)
- DOS(E_F): 9.74 states/eV/cell

Cell lengths 10.5221, 10.5221, 10.5221 Å; angles 17.75, 17.75, 17.75 degrees
Closest atoms and distances in Å follow each position.
Fractional positions:
Pu (0.0000, 0.0000, 0.0000)  3 Hf 3.19, 3 Zr 3.22, 6 Pu 3.25
Hf (0.4165, 0.4165, 0.4165)  3 Sc 3.17, 3 Pu 3.19, 6 Hf 3.25
Zr (0.5824, 0.5824, 0.5824)  3 Sc 3.21, 3 Pu 3.22, 6 Zr 3.25
Sc (0.1654, 0.1654, 0.1654)  3 Hf 3.17, 3 Zr 3.21, 6 Sc 3.25



Run x
This record from Alexandria via LeMat-Bulk describes a relaxed PuHfZrSc crystal. The functional is PBE.

- Crystal system: cubic
- Space-group type: F-43m (216)
- DOS(E_F): 9.18 states/eV/cell

Cell lengths 5.0853, 5.0853, 5.0853 Å; angles 60.00, 60.00, 60.00 degrees
Closest atoms and distances in Å follow each position.
Fractional positions:
Pu (0.0000, 0.0000, 0.0000)  4 Hf 3.11, 4 Sc 3.11
Hf (0.2500, 0.2500, 0.2500)  4 Zr 3.11, 4 Pu 3.11
Zr (0.5000, 0.5000, 0.5000)  4 Hf 3.11, 4 Sc 3.11
Sc (0.7500, 0.7500, 0.7500)  4 Zr 3.11, 4 Pu 3.11



What should be chosen as the least stable of them? Choose run x.